Entry 1:
TlCuTcO4 after structural relaxation, computed with PBE.

Cell and atoms, written as extended XYZ:
```
14
Lattice="-0.379 -1.443 -5.469 -3.926 -4.352 1.420 -5.919 6.094 2.314" Properties=species:S:1:pos:R:3 pbc="T T T"
O -3.361 -0.765 0.987
O -4.092 0.969 -1.938
O -4.149 -2.809 -0.871
O -6.862 1.063 -2.721
O -6.074 3.107 -0.864
O -6.131 -0.671 0.204
O -8.768 -1.051 -2.032
O -1.455 1.349 0.297
Tl -2.081 -1.103 -2.730
Tl -8.142 1.401 0.995
Cu -7.158 -0.234 -1.297
Cu -3.065 0.532 -0.438
Tc -5.465 2.121 -2.204
Tc -4.758 -1.823 0.470
```

***

Entry 2:
PaPI after structural relaxation, computed with PBE.

Cell and atoms, written as extended XYZ:
```
3
Lattice="3.699 0.000 0.000 0.000 3.699 0.000 -1.850 -1.850 5.712" Properties=species:S:1:pos:R:3 pbc="T T T"
Pa 1.850 1.850 2.347
P 0.000 0.000 3.280
I 0.000 0.000 0.085
```

***

Entry 3:
Sr2YNi after structural relaxation, computed with PBE.

Calculated values
formation energy from the elements	0.2047	eV per atom

Cell and atoms, written as extended XYZ:
```
4
Lattice="3.680 0.109 0.000 -0.100 3.681 0.000 0.000 0.000 9.578" Properties=species:S:1:pos:R:3 pbc="T T T"
Sr 0.000 0.000 8.950
Sr 0.000 0.000 5.417
Ni 1.790 1.895 7.183
Y 1.790 1.895 2.394
```

***

Entry 4:
NdSmCo after structural relaxation, computed with PBE.

Calculated values
formation energy from the elements	0.0066	eV per atom

Cell and atoms, written as extended XYZ:
```
3
Lattice="3.458 0.000 0.000 0.000 3.458 0.000 -1.729 -1.729 6.562" Properties=species:S:1:pos:R:3 pbc="T T T"
Nd 0.000 0.000 0.519
Sm 0.000 0.000 3.831
Co 1.729 1.729 2.212
```

***

Entry 5:
TaAl2Os after structural relaxation, computed with PBE.

Calculated values
formation energy from the elements	-0.2267	eV per atom

Cell and atoms, written as extended XYZ:
```
4
Lattice="4.435 0.000 0.000 2.218 3.841 0.000 2.218 1.280 3.621" Properties=species:S:1:pos:R:3 pbc="T T T"
Al 0.000 0.000 0.000
Al 2.218 1.280 0.905
Os 4.435 2.561 1.811
Ta 6.653 3.841 2.716
```

***

Entry 6:
Hg2Se after structural relaxation, computed with PBE.

Cell and atoms, written as extended XYZ:
```
6
Lattice="1.365 -13.857 0.000 1.365 13.857 0.000 0.000 0.000 4.675" Properties=species:S:1:pos:R:3 pbc="T T T"
Hg 1.365 8.144 1.169
Hg 1.365 -1.471 1.169
Hg 1.365 1.471 3.506
Hg 1.365 -8.144 3.506
Se 1.365 -10.121 1.169
Se 1.365 10.121 3.506
```

***

Entry 7:
PrAl3PdPt after structural relaxation, computed with PBE.

Calculated values
formation energy from the elements	-0.6579	eV per atom

Cell and atoms, written as extended XYZ:
```
12
Lattice="-3.676 4.303 -0.481 -4.170 -3.818 -2.290 -0.190 0.661 7.368" Properties=species:S:1:pos:R:3 pbc="T T T"
Pd -5.490 0.963 0.266
Pd -2.546 0.183 4.331
Al -1.173 -1.074 -0.644
Al -4.835 -0.593 -1.887
Al -2.997 -2.745 -1.646
Al -6.504 0.407 3.039
Al -3.011 1.078 -0.885
Al -1.532 0.739 1.557
Pr -3.934 -1.343 1.278
Pr -4.102 2.490 3.318
Pt -4.878 -1.861 3.860
Pt -3.158 3.008 0.736
```

***

Entry 8:
CsNbCd after structural relaxation, computed with PBE.

Calculated values
formation energy from the elements	0.6162	eV per atom

Cell and atoms, written as extended XYZ:
```
6
Lattice="-5.480 2.822 -5.039 1.912 -2.963 -3.309 -4.182 -3.758 1.794" Properties=species:S:1:pos:R:3 pbc="T T T"
Cs -4.535 -0.654 -6.491
Cs -3.214 -3.246 -0.062
Cd -5.234 -1.422 -2.735
Cd -2.515 -2.477 -3.818
Nb -2.788 0.459 -3.066
Nb -4.961 -4.358 -3.488
```

***

Entry 9:
InAs2P2 after structural relaxation, computed with PBE.

Calculated values
formation energy from the elements	0.1069	eV per atom

Cell and atoms, written as extended XYZ:
```
10
Lattice="-3.356 -0.758 0.104 2.174 -1.507 2.203 -3.834 19.320 16.995" Properties=species:S:1:pos:R:3 pbc="T T T"
As -3.061 15.835 16.539
As -2.028 10.631 11.961
As -2.988 6.425 7.342
As -1.955 1.220 2.763
In -1.917 9.660 8.497
In 0.000 0.000 0.000
P -0.307 1.958 4.331
P -4.709 15.098 14.971
P -0.948 5.188 7.173
P -4.068 11.867 12.129
```

***

Entry 10:
K2HAuCl after structural relaxation, computed with PBE.

Cell and atoms, written as extended XYZ:
```
5
Lattice="-1.077 5.052 -2.102 -2.982 1.255 4.543 3.229 1.409 1.731" Properties=species:S:1:pos:R:3 pbc="T T T"
K -1.491 0.627 2.271
K -0.539 2.526 -1.051
H 0.000 0.000 0.000
Cl -0.415 3.858 2.086
Au 1.615 0.704 0.865
```

***

Entry 11:
U2SbAu2Se2 after structural relaxation, computed with PBE.

Cell and atoms, written as extended XYZ:
```
7
Lattice="5.088 0.000 0.000 -2.544 4.407 0.000 0.000 0.000 8.048" Properties=species:S:1:pos:R:3 pbc="T T T"
Au 0.000 0.000 2.712
Au 0.000 0.000 5.336
Se 2.544 1.469 5.155
Se 0.000 2.938 2.893
Sb 0.000 0.000 0.000
U 2.544 1.469 2.096
U 0.000 2.938 5.952
```

***

Entry 12:
Cs3Ce2ZnSe6 after structural relaxation, computed with PBE.

Cell and atoms, written as extended XYZ:
```
12
Lattice="7.432 0.011 -0.002 -3.704 6.443 -0.002 -1.245 -2.156 8.328" Properties=species:S:1:pos:R:3 pbc="T T T"
Se 3.673 2.226 6.816
Se 2.390 0.005 1.508
Se 2.515 4.355 1.527
Se 0.092 4.293 6.816
Se -0.033 -0.056 6.797
Se -1.190 2.073 1.508
Ce 0.009 4.298 -0.002
Ce 3.718 2.156 -0.002
Zn 0.000 0.000 0.000
Cs 4.947 0.009 4.162
Cs 1.241 2.149 4.162
Cs -2.464 4.289 4.162
```

***

Entry 13:
ZrCdSb2O8 after structural relaxation, computed with PBE.

Cell and atoms, written as extended XYZ:
```
12
Lattice="4.953 0.062 -0.003 0.121 4.952 -0.006 0.005 0.008 6.413" Properties=species:S:1:pos:R:3 pbc="T T T"
O 3.444 3.406 3.200
O 1.157 3.913 4.936
O 1.635 1.616 3.204
O 3.925 1.114 4.937
O 3.922 1.109 1.468
O 3.495 3.458 6.407
O 1.584 1.564 -0.003
O 1.154 3.908 1.467
Cd 0.002 0.004 3.207
Sb 2.541 2.513 4.797
Sb 2.538 2.509 1.607
Zr 0.000 0.000 0.000
```

***

Entry 14:
MnV4W after structural relaxation, computed with PBE.

Calculated values
formation energy from the elements	0.6353	eV per atom

Cell and atoms, written as extended XYZ:
```
6
Lattice="-3.232 1.603 -2.030 -3.529 0.782 2.016 -0.171 6.688 1.332" Properties=species:S:1:pos:R:3 pbc="T T T"
W -3.466 4.537 0.659
V -4.287 2.213 0.131
V -0.902 4.622 0.865
V -2.645 6.861 1.186
V -6.030 4.451 0.453
Mn 0.000 0.000 0.000
```

***

Entry 15:
RbReSnOs2 after structural relaxation, computed with PBE.

Calculated values
formation energy from the elements	2.9480	eV per atom

Cell and atoms, written as extended XYZ:
```
5
Lattice="4.951 0.000 0.000 0.000 5.582 0.000 0.000 0.000 4.951" Properties=species:S:1:pos:R:3 pbc="T T T"
Re 2.475 2.791 2.475
Rb 0.000 2.791 0.000
Os 0.000 0.000 2.475
Os 2.475 0.000 0.000
Sn 0.000 0.000 0.000
```

***

Entry 16:
SmZnSb2 after structural relaxation, computed with PBE.

Cell and atoms, written as extended XYZ:
```
4
Lattice="4.318 0.000 0.000 2.159 3.740 0.000 2.159 1.247 6.901" Properties=species:S:1:pos:R:3 pbc="T T T"
Sm 4.318 2.493 3.450
Zn 0.000 0.000 0.000
Sb 6.477 3.740 5.396
Sb 2.159 1.247 1.505
```

***

Entry 17:
Rb4SbS4 after structural relaxation, computed with PBE.

Cell and atoms, written as extended XYZ:
```
18
Lattice="-7.083 -1.111 2.295 -2.153 -3.594 -8.385 2.334 -8.546 3.064" Properties=species:S:1:pos:R:3 pbc="T T T"
Rb -6.618 -4.679 -1.533
Rb -1.515 -7.213 -4.631
Rb -0.333 -5.245 -0.033
Rb -5.015 -10.511 -4.684
Rb -4.090 -3.006 -5.267
Rb -0.784 -9.926 1.583
Rb -3.916 -3.058 2.315
Rb -5.338 -9.366 0.145
Sb 0.000 0.000 0.000
Sb -3.451 -6.626 -1.513
S -7.383 -3.711 -4.723
S -0.882 -2.068 1.112
S -1.559 -8.258 -1.300
S -2.569 -4.557 -2.625
S -1.711 -10.507 -5.534
S -3.828 -10.217 3.094
S -5.304 -7.620 -2.879
S -4.372 -6.066 0.752
```

***

Entry 18:
ZnReW after structural relaxation, computed with PBE.

Calculated values
formation energy from the elements	0.1619	eV per atom

Cell and atoms, written as extended XYZ:
```
3
Lattice="4.428 0.000 0.000 -2.214 3.835 0.000 0.000 0.000 2.680" Properties=species:S:1:pos:R:3 pbc="T T T"
W 0.000 2.556 0.790
Re 0.000 0.000 0.048
Zn 2.214 1.278 1.842
```

***

Entry 19:
Cr3Re after structural relaxation, computed with PBE.

Calculated values
formation energy from the elements	0.0428	eV per atom

Cell and atoms, written as extended XYZ:
```
4
Lattice="2.565 0.000 0.000 0.855 4.772 0.000 0.855 -2.386 4.132" Properties=species:S:1:pos:R:3 pbc="T T T"
Re 0.855 1.193 2.066
Cr 1.710 2.386 0.000
Cr 1.710 -1.193 2.066
Cr 0.000 0.000 0.000
```

***

Entry 20:
AcAl4Ni2 after structural relaxation, computed with PBE.

Calculated values
formation energy from the elements	-0.3992	eV per atom

Cell and atoms, written as extended XYZ:
```
7
Lattice="4.252 0.000 0.000 0.000 4.231 0.000 0.000 -2.115 7.041" Properties=species:S:1:pos:R:3 pbc="T T T"
Ni 2.126 0.000 5.645
Ni 2.126 2.115 1.396
Al 0.000 2.115 2.583
Al 2.126 2.115 4.424
Al 2.126 0.000 2.617
Al 0.000 0.000 4.458
Ac 0.000 0.000 0.000
```

***

Entry 21:
Al13Pd2 after structural relaxation, computed with PBE.

Calculated values
formation energy from the elements	-0.2222	eV per atom

Cell and atoms, written as extended XYZ:
```
15
Lattice="-1.986 0.603 -4.460 -1.195 -6.183 0.755 -7.136 4.269 1.332" Properties=species:S:1:pos:R:3 pbc="T T T"
Al -2.656 -3.010 -2.746
Al 0.000 0.000 0.000
Al -7.661 1.700 0.372
Al -6.497 -3.144 0.248
Al -6.000 -0.542 1.179
Al -8.158 -0.930 -0.564
Al -4.317 -0.768 -3.552
Al -2.159 -0.381 -1.810
Al -7.400 2.629 -2.359
Al -2.917 -3.939 -0.014
Al -3.819 1.834 -2.622
Al -4.379 -1.735 -0.853
Al -5.938 0.425 -1.521
Pd -3.847 0.795 0.027
Pd -6.470 -2.106 -2.401
```

***

Entry 22:
Li2YAg2 after structural relaxation, computed with PBE.

Calculated values
formation energy from the elements	-0.1230	eV per atom

Cell and atoms, written as extended XYZ:
```
5
Lattice="-3.177 3.378 -0.738 -3.379 -3.246 -0.314 2.573 0.239 4.957" Properties=species:S:1:pos:R:3 pbc="T T T"
Li -0.591 -1.423 3.501
Li -3.392 1.794 0.404
Ag -1.639 0.033 -0.263
Ag -2.344 0.338 4.168
Y -0.302 1.808 2.110
```

***

Entry 23:
Sr2ZrZn after structural relaxation, computed with PBE.

Calculated values
formation energy from the elements	0.5785	eV per atom

Cell and atoms, written as extended XYZ:
```
8
Lattice="9.039 0.000 0.000 0.000 9.039 0.000 4.519 4.519 3.233" Properties=species:S:1:pos:R:3 pbc="T T T"
Sr 2.677 6.779 0.808
Sr 11.298 10.882 2.425
Sr 6.779 7.196 2.425
Sr 6.362 2.260 0.808
Zr 9.039 4.519 1.616
Zr 0.000 0.000 0.000
Zn 4.519 4.519 0.000
Zn 4.519 9.039 1.616
```

***

Entry 24:
Mn2SiPb after structural relaxation, computed with PBE.

Cell and atoms, written as extended XYZ:
```
4
Lattice="-3.314 2.066 -0.144 -2.090 -3.239 1.630 0.743 1.459 3.851" Properties=species:S:1:pos:R:3 pbc="T T T"
Pb -2.702 -0.586 0.743
Mn -0.673 -0.890 2.741
Mn 0.000 0.000 0.000
Si -1.286 1.763 1.854
```

***

Entry 25:
Ti3SiSn after structural relaxation, computed with PBE.

Cell and atoms, written as extended XYZ:
```
5
Lattice="-2.120 -4.086 -0.408 4.070 -2.151 0.402 -0.545 -0.176 4.586" Properties=species:S:1:pos:R:3 pbc="T T T"
Sn 0.703 -3.207 2.289
Ti -1.060 -2.043 -0.204
Ti 2.035 -1.076 0.201
Ti -0.273 -0.088 2.293
Si 0.000 0.000 0.000
```

***

Number 1: spin magnetization 0.990 μB per formula unit, final energy -6.233 eV per atom. Number 2: spin magnetization 0.408 μB per formula unit, final energy -6.192 eV per atom. Number 3: spin magnetization 0.292 μB per formula unit, final energy -3.698 eV per atom. Number 4: spin magnetization 0.626 μB per formula unit, final energy -5.524 eV per atom. Number 5: spin magnetization 0.003 μB per formula unit, final energy -7.869 eV per atom. Number 6: spin magnetization 0.000 μB per formula unit, final energy -1.281 eV per atom. Number 7: spin magnetization 0.000 μB per formula unit, final energy -5.198 eV per atom. Number 8: spin magnetization 0.000 μB per formula unit, final energy -3.330 eV per atom. Number 9: spin magnetization 0.000 μB per formula unit, final energy -4.465 eV per atom. Number 10: spin magnetization 0.000 μB per formula unit, final energy -2.942 eV per atom. Number 11: spin magnetization 5.024 μB per formula unit, final energy -6.045 eV per atom. Number 12: spin magnetization 1.021 μB per formula unit, final energy -4.390 eV per atom. Number 13: spin magnetization 0.000 μB per formula unit, final energy -6.588 eV per atom. Number 14: spin magnetization 0.000 μB per formula unit, final energy -9.131 eV per atom. Number 15: spin magnetization 3.474 μB per formula unit, final energy -5.028 eV per atom. Number 16: spin magnetization 0.000 μB per formula unit, final energy -3.862 eV per atom. Number 17: spin magnetization 0.931 μB per formula unit, final energy -3.602 eV per atom. Number 18: spin magnetization 0.000 μB per formula unit, final energy -8.730 eV per atom. Number 19: spin magnetization 0.003 μB per formula unit, final energy -10.287 eV per atom. Number 20: spin magnetization 0.000 μB per formula unit, final energy -4.777 eV per atom. Number 21: spin magnetization 0.000 μB per formula unit, final energy -4.158 eV per atom. Number 22: spin magnetization 0.000 μB per formula unit, final energy -3.322 eV per atom. Number 23: spin magnetization 2.006 μB per formula unit, final energy -2.718 eV per atom. Number 24: spin magnetization 6.735 μB per formula unit, final energy -6.401 eV per atom. Number 25: spin magnetization 0.000 μB per formula unit, final energy -6.631 eV per atom.